Compound: VSiTc2S
Source: Alexandria via LeMat-Bulk
Functional: PBE
Structure: relaxed

For the raw total energy, the calculation gives -6.958 eV per atom. The uncorrected formation energy is 922 meV/atom. Its density of states at the Fermi level is 6.81 states/eV/f.u.

```
data_VSiTc2S
_chemical_formula_sum 'V1 Si1 Tc2 S1'
_symmetry_space_group_name_H-M 'P 1'
_symmetry_Int_Tables_number 1
_symmetry_space_group_name_Hall 'P 1'
_cell_length_a 4.2819
_cell_length_b 4.2819
_cell_length_c 4.4977
_cell_angle_alpha 90.00
_cell_angle_beta 90.00
_cell_angle_gamma 90.00
loop_
_atom_site_label
_atom_site_fract_x
_atom_site_fract_y
_atom_site_fract_z
V1 0.0000 0.0000 0.0000
Si1 0.5000 0.5000 0.0000
Tc1 0.0000 0.5000 0.5000
Tc2 0.5000 0.0000 0.5000
S1 0.5000 0.5000 0.5000
```



Compound: LiIn12Sn3
Source: Alexandria via LeMat-Bulk
Functional: PBE
Structure: relaxed

For the raw total energy, the calculation gives -2.934 eV per atom. Its density of states at the Fermi level is 5.72 states/eV/f.u.

```
data_LiIn12Sn3
_chemical_formula_sum 'Li1 In12 Sn3'
_symmetry_space_group_name_H-M 'P 1'
_symmetry_Int_Tables_number 1
_symmetry_space_group_name_Hall 'P 1'
_cell_length_a 4.9252
_cell_length_b 4.9252
_cell_length_c 17.5290
_cell_angle_alpha 90.00
_cell_angle_beta 90.00
_cell_angle_gamma 90.00
loop_
_atom_site_label
_atom_site_fract_x
_atom_site_fract_y
_atom_site_fract_z
Li1 0.0000 0.0000 0.0000
In1 0.0000 0.5000 0.1178
In2 0.0000 0.5000 0.3740
In3 0.0000 0.5000 0.6260
In4 0.0000 0.5000 0.8822
In5 0.5000 0.0000 0.1178
In6 0.5000 0.0000 0.3740
In7 0.5000 0.0000 0.6260
In8 0.5000 0.0000 0.8822
In9 0.5000 0.5000 0.0000
In10 0.5000 0.5000 0.2485
In11 0.5000 0.5000 0.5000
In12 0.5000 0.5000 0.7515
Sn1 0.0000 0.0000 0.2412
Sn2 0.0000 0.0000 0.5000
Sn3 0.0000 0.0000 0.7588
```



Compound: MoI
Source: Alexandria via LeMat-Bulk
Functional: PBE
Structure: relaxed

The offset from the most stable computed form comes out at 264 meV per atom. For the raw total energy, the calculation gives -5.673 eV per atom. The uncorrected formation energy is 517 meV/atom. Its density of states at the Fermi level is 0.29 states/eV/f.u.

```
data_MoI
_chemical_formula_sum 'Mo4 I4'
_symmetry_space_group_name_H-M 'P 1'
_symmetry_Int_Tables_number 1
_symmetry_space_group_name_Hall 'P 1'
_cell_length_a 8.6465
_cell_length_b 8.6465
_cell_length_c 8.6465
_cell_angle_alpha 92.39
_cell_angle_beta 92.39
_cell_angle_gamma 156.41
loop_
_atom_site_label
_atom_site_fract_x
_atom_site_fract_y
_atom_site_fract_z
Mo1 0.1940 0.7102 0.9042
Mo2 0.2898 0.1940 0.4838
Mo3 0.7102 0.8060 0.5162
Mo4 0.8060 0.2898 0.0958
I1 0.2692 0.4940 0.7632
I2 0.4940 0.7308 0.2248
I3 0.5060 0.2692 0.7752
I4 0.7308 0.5060 0.2368
```